A plane-wave DFT calculation with GGA-PBE was carried out for an optimized crystal structure of CaGd2Pa.

abc: 3.4708 3.4708 12.3376
angles: 81.91 81.91 60.00
With the nearest neighbours (Å) after each atom.
Element x y z (fractional)
Gd: 0.9070 0.9070 0.2789  3 Pa 3.36, 1 Ca 3.40, 6 Gd 3.47
Pa: 0.5000 0.5000 0.5000  6 Gd 3.36, 6 Pa 3.47
Gd: 0.0930 0.0930 0.7211  3 Pa 3.36, 1 Ca 3.40, 6 Gd 3.47
Ca: 0.0000 0.0000 0.0000  2 Gd 3.40, 6 Ca 3.47

The calculation puts the energy above the most stable polymorph in this dataset at 0.079 eV/atom. For the total DFT energy (no corrections), the calculation gives -9.698 eV/atom.